[1]
K2Rb2TlSb2: optimized geometry, PBE.

It has space group C2/m (No. 12), with a = 12.690 Å, b = 5.228 Å, c = 10.528 Å, α = 90.00°, β = 114.92° and γ = 90.00°. The asymmetric unit holds K at (0.129, 0.000, 0.413), Rb at (0.146, 0.500, 0.840), Tl at (0.000, 0.000, 0.000) and Sb at (0.169, 0.500, 0.213).

The calculation puts the energy at -2.332 eV per atom. Its volume is 316.7 Å³/f.u.

[2]
Mn2Rh2Br: optimized geometry, PBE.

It has space group I4/mmm (No. 139), with a = 3.710 Å, b = 3.710 Å, c = 14.158 Å, α = 90.00°, β = 90.00° and γ = 90.00°. The asymmetric unit holds Mn at (0.000, 0.000, 0.125), Rh at (0.000, 0.500, 0.250) and Br at (0.000, 0.000, 0.500).

The calculation puts the energy at -6.627 eV per atom. Its volume is 97.5 Å³/f.u.

[3]
GaNi2Au2: optimized geometry, PBE.

It has space group P4/mbm (No. 127), with a = 6.916 Å, b = 6.916 Å, c = 3.295 Å, α = 90.00°, β = 90.00° and γ = 90.00°. The asymmetric unit holds Ga at (0.000, 0.000, 0.000), Ni at (0.147, 0.353, 0.500) and Au at (0.150, 0.650, 0.000).

Its volume is 78.8 Å³/f.u. The formation energy is 0.6 eV/f.u.

[4]
Pa2Ni5Ge2: optimized geometry, PBE.

It has space group P4/mmm (No. 123), with a = 3.924 Å, b = 3.924 Å, c = 9.092 Å, α = 90.00°, β = 90.00° and γ = 90.00°. The asymmetric unit holds Pa at (0.000, 0.000, 0.000), Pa at (0.000, 0.000, 0.500), Ni at (0.000, 0.500, 0.204), Ni at (0.500, 0.500, 0.000) and Ge at (0.500, 0.500, 0.356).

Its volume is 140.0 Å³/f.u. The formation energy is -3.7 eV/f.u.

[5]
PrZn3CuIr: optimized geometry, PBE.

It has space group Cmcm (No. 63), with a = 6.143 Å, b = 12.719 Å, c = 5.522 Å, α = 90.00°, β = 90.00° and γ = 90.00°. The asymmetric unit holds Pr at (0.000, 0.218, 0.250), Zn at (0.000, 0.359, 0.750), Zn at (0.202, 0.000, 0.000), Cu at (0.000, 0.440, 0.250) and Ir at (0.000, 0.154, 0.750).

Its volume is 107.9 Å³/f.u. The formation energy is -1.1 eV/f.u.

[6]
LiLaErMn: optimized geometry, PBE.

It has space group F-43m (No. 216), with a = 7.261 Å, b = 7.261 Å, c = 7.261 Å, α = 90.00°, β = 90.00° and γ = 90.00°. The asymmetric unit holds Li at (0.000, 0.000, 0.000), La at (0.250, 0.250, 0.750), Er at (0.250, 0.250, 0.250) and Mn at (0.000, 0.000, 0.500).

Its volume is 95.7 Å³/f.u. The formation energy is 0.6 eV/f.u.

Question: What is the formula in the sixth record?
Answer: LiLaErMn